[1]
A geometry-optimized HfMgNiSb structure. Source: OQMD via LeMat-Bulk, functional GGA-PBE.

Output
Volume: 18.63 Å³/atom
ρ: 8.5 g/cm³
Total energy: -83.0 eV for the cell shown

Unit cell a=6.6804 b=6.6804 c=6.6804 alpha=90.00 beta=90.00 gamma=90.00
Fractional coordinates of all 16 atoms:
Hf: 0.0000 0.0000 0.0000
Hf: 0.0000 0.5000 0.5000
Hf: 0.5000 0.0000 0.5000
Hf: 0.5000 0.5000 0.0000
Mg: 0.2500 0.2500 0.7500
Mg: 0.2500 0.7500 0.2500
Mg: 0.7500 0.2500 0.2500
Mg: 0.7500 0.7500 0.7500
Ni: 0.0000 0.0000 0.5000
Ni: 0.0000 0.5000 0.0000
Ni: 0.5000 0.0000 0.0000
Ni: 0.5000 0.5000 0.5000
Sb: 0.2500 0.2500 0.2500
Sb: 0.2500 0.7500 0.7500
Sb: 0.7500 0.2500 0.7500
Sb: 0.7500 0.7500 0.2500

[2]
A geometry-optimized FeGeW4N2 structure. Source: OQMD via LeMat-Bulk, functional GGA-PBE.

Output
Volume: 12.63 Å³/atom
ρ: 14.7 g/cm³
Total energy: -79.5 eV for the cell shown

Unit cell a=2.8467 b=2.8467 c=14.4025 alpha=90.00 beta=90.00 gamma=120.00
Fractional coordinates of all 8 atoms:
Fe: 0.0000 0.0000 0.0000
Ge: 0.6667 0.3333 0.5000
W: 0.0000 0.0000 0.3470
W: 0.0000 0.0000 0.6530
W: 0.6667 0.3333 0.1467
W: 0.6667 0.3333 0.8533
N: 0.3333 0.6667 0.2481
N: 0.3333 0.6667 0.7519

[3]
A geometry-optimized AgTePtO structure. Source: OQMD via LeMat-Bulk, functional GGA-PBE.

Output
Volume: 19.27 Å³/atom
ρ: 9.6 g/cm³
Total energy: -69.6 eV for the cell shown

Unit cell a=8.0283 b=6.8482 c=5.6089 alpha=90.00 beta=90.00 gamma=90.00
Fractional coordinates of all 16 atoms:
Ag: 0.2195 0.1260 0.2500
Ag: 0.2195 0.3740 0.7500
Ag: 0.7805 0.6260 0.2500
Ag: 0.7805 0.8740 0.7500
Te: 0.1257 0.5363 0.2500
Te: 0.1257 0.9637 0.7500
Te: 0.8743 0.0363 0.2500
Te: 0.8743 0.4637 0.7500
Pt: 0.3387 0.7500 0.0000
Pt: 0.3387 0.7500 0.5000
Pt: 0.6613 0.2500 0.0000
Pt: 0.6613 0.2500 0.5000
O: 0.4952 0.1603 0.2500
O: 0.4952 0.3397 0.7500
O: 0.5048 0.6603 0.2500
O: 0.5048 0.8397 0.7500

[4]
A geometry-optimized ZrCuSbIr structure. Source: OQMD via LeMat-Bulk, functional GGA-PBE.

Output
Volume: 17.77 Å³/atom
ρ: 10.9 g/cm³
Total energy: -106.1 eV for the cell shown

Unit cell a=6.5761 b=6.5761 c=6.5761 alpha=90.00 beta=90.00 gamma=90.00
Fractional coordinates of all 16 atoms:
Zr: 0.0000 0.0000 0.0000
Zr: 0.0000 0.5000 0.5000
Zr: 0.5000 0.0000 0.5000
Zr: 0.5000 0.5000 0.0000
Cu: 0.2500 0.2500 0.7500
Cu: 0.2500 0.7500 0.2500
Cu: 0.7500 0.2500 0.2500
Cu: 0.7500 0.7500 0.7500
Sb: 0.0000 0.0000 0.5000
Sb: 0.0000 0.5000 0.0000
Sb: 0.5000 0.0000 0.0000
Sb: 0.5000 0.5000 0.5000
Ir: 0.2500 0.2500 0.2500
Ir: 0.2500 0.7500 0.7500
Ir: 0.7500 0.2500 0.7500
Ir: 0.7500 0.7500 0.2500

[5]
A geometry-optimized LaEr2 structure. Source: OQMD via LeMat-Bulk, functional GGA-PBE.

Output
Calculated formation energy: 2.43 eV/atom
Volume: 125.61 Å³/atom
ρ: 2.1 g/cm³

Unit cell a=10.2148 b=10.2148 c=10.2148 alpha=60.00 beta=60.00 gamma=60.00
Fractional coordinates of all 6 atoms:
La: 0.1250 0.1250 0.1250
La: 0.8750 0.8750 0.8750
Er: 0.0000 0.0000 0.0000
Er: 0.0000 0.0000 0.5000
Er: 0.0000 0.5000 0.0000
Er: 0.5000 0.0000 0.0000

[6]
A geometry-optimized AlSiTc structure. Source: OQMD via LeMat-Bulk, functional GGA-PBE.

Output
Volume: 13.64 Å³/atom
ρ: 6.2 g/cm³
Total energy: -42.9 eV for the cell shown

Unit cell a=3.1734 b=3.1734 c=8.1273 alpha=90.00 beta=90.00 gamma=90.00
Fractional coordinates of all 6 atoms:
Al: 0.0000 0.0000 0.0000
Al: 0.5000 0.5000 0.5000
Si: 0.0000 0.0000 0.3239
Si: 0.5000 0.5000 0.8239
Tc: 0.0000 0.0000 0.6748
Tc: 0.5000 0.5000 0.1748